Entry 1:
Material: CaTaOF2
Method: DFT, PBE-GGA
State: optimized geometry

The structure in CIF format:
```
data_CaTaOF2
_space_group_name_H-M_alt 'P 4/m m m'
_space_group_IT_number 123
_space_group_name_Hall '-P 4 2'
_cell_length_a 4.125
_cell_length_b 4.125
_cell_length_c 4.742
_cell_angle_alpha 90.00
_cell_angle_beta 90.00
_cell_angle_gamma 90.00
loop_
_atom_site_label
_atom_site_type_symbol
_atom_site_fract_x
_atom_site_fract_y
_atom_site_fract_z
Ca1 Ca 0.000 0.000 0.000
Ta1 Ta 0.500 0.500 0.500
O1 O 0.000 0.000 0.500
F1 F 0.000 0.500 0.000
```

Values from the calculation:
Its magnetic moment is 2.98 μB per formula unit. The value obtained for the formation energy from raw total energies is -1281 meV/atom. Its density is 5.7 g/cm3. As for the density of states at the Fermi level: 5.7 states/eV per cell.

***

Entry 2:
Material: CaTcOF2
Method: DFT, PBE-GGA
State: optimized geometry

The structure in CIF format:
```
data_CaTcOF2
_space_group_name_H-M_alt 'P 4/m m m'
_space_group_IT_number 123
_space_group_name_Hall '-P 4 2'
_cell_length_a 4.424
_cell_length_b 4.424
_cell_length_c 3.802
_cell_angle_alpha 90.00
_cell_angle_beta 90.00
_cell_angle_gamma 90.00
loop_
_atom_site_label
_atom_site_type_symbol
_atom_site_fract_x
_atom_site_fract_y
_atom_site_fract_z
Ca1 Ca 0.000 0.000 0.000
Tc1 Tc 0.500 0.500 0.500
O1 O 0.500 0.500 0.000
F1 F 0.000 0.500 0.500
```

Values from the calculation:
Its magnetic moment is 0.00 μB per formula unit. The value obtained for the formation energy from raw total energies is -1708 meV/atom. Its density is 4.3 g/cm3. As for the density of states at the Fermi level: 3.2 states/eV per cell.

***

Entry 3:
Material: Ca2TcO4F
Method: DFT, PBE-GGA
State: optimized geometry

The structure in CIF format:
```
data_Ca2TcO4F
_space_group_name_H-M_alt 'C 1 2/m 1'
_space_group_IT_number 12
_space_group_name_Hall '-C 2y'
_cell_length_a 9.796
_cell_length_b 3.258
_cell_length_c 6.826
_cell_angle_alpha 90.00
_cell_angle_beta 115.12
_cell_angle_gamma 90.00
loop_
_atom_site_label
_atom_site_type_symbol
_atom_site_fract_x
_atom_site_fract_y
_atom_site_fract_z
Ca1 Ca 0.175 0.000 0.214
Tc1 Tc 0.000 0.000 0.500
O1 O 0.111 0.500 0.440
O2 O 0.146 0.000 0.781
F1 F 0.000 0.500 0.000
```

Values from the calculation:
Its magnetic moment is 0.01 μB per formula unit. The value obtained for the formation energy from raw total energies is -2427 meV/atom. Its density is 4.4 g/cm3. As for the density of states at the Fermi level: 1.3 states/eV per cell.

***

Entry 4:
Material: CaTcOF2
Method: DFT, PBE-GGA
State: optimized geometry

The structure in CIF format:
```
data_CaTcOF2
_space_group_name_H-M_alt 'P 4/m m m'
_space_group_IT_number 123
_space_group_name_Hall '-P 4 2'
_cell_length_a 4.205
_cell_length_b 4.205
_cell_length_c 4.639
_cell_angle_alpha 90.00
_cell_angle_beta 90.00
_cell_angle_gamma 90.00
loop_
_atom_site_label
_atom_site_type_symbol
_atom_site_fract_x
_atom_site_fract_y
_atom_site_fract_z
Ca1 Ca 0.000 0.000 0.000
Tc1 Tc 0.500 0.500 0.500
O1 O 0.000 0.000 0.500
F1 F 0.000 0.500 0.000
```

Values from the calculation:
Its magnetic moment is 5.00 μB per formula unit. The value obtained for the formation energy from raw total energies is -1434 meV/atom. Its density is 3.9 g/cm3. As for the density of states at the Fermi level: 0.1 states/eV per cell.

***

Entry 5:
Material: Ca2TeO4F
Method: DFT, PBE-GGA
State: optimized geometry

The structure in CIF format:
```
data_Ca2TeO4F
_space_group_name_H-M_alt 'C 1 2/m 1'
_space_group_IT_number 12
_space_group_name_Hall '-C 2y'
_cell_length_a 10.409
_cell_length_b 3.347
_cell_length_c 6.973
_cell_angle_alpha 90.00
_cell_angle_beta 117.13
_cell_angle_gamma 90.00
loop_
_atom_site_label
_atom_site_type_symbol
_atom_site_fract_x
_atom_site_fract_y
_atom_site_fract_z
Ca1 Ca 0.181 0.000 0.167
Te1 Te 0.000 0.000 0.500
O1 O 0.111 0.500 0.451
O2 O 0.159 0.000 0.806
F1 F 0.000 0.500 0.000
```

Values from the calculation:
Its magnetic moment is 0.00 μB per formula unit. The value obtained for the formation energy from raw total energies is -2238 meV/atom. Its density is 4.5 g/cm3. As for the density of states at the Fermi level: 2.0 states/eV per cell.

***

Entry 6:
Material: CaTiO2F
Method: DFT, PBE-GGA
State: optimized geometry

The structure in CIF format:
```
data_CaTiO2F
_space_group_name_H-M_alt 'P 4/m m m'
_space_group_IT_number 123
_space_group_name_Hall '-P 4 2'
_cell_length_a 4.325
_cell_length_b 4.325
_cell_length_c 4.038
_cell_angle_alpha 90.00
_cell_angle_beta 90.00
_cell_angle_gamma 90.00
loop_
_atom_site_label
_atom_site_type_symbol
_atom_site_fract_x
_atom_site_fract_y
_atom_site_fract_z
Ca1 Ca 0.000 0.000 0.000
Ti1 Ti 0.500 0.500 0.500
O1 O 0.000 0.500 0.000
F1 F 0.000 0.000 0.500
```

Values from the calculation:
Its magnetic moment is 0.14 μB per formula unit. The value obtained for the formation energy from raw total energies is -1385 meV/atom. Its density is 3.1 g/cm3. As for the density of states at the Fermi level: 6.1 states/eV per cell.

***

Entry 7:
Material: CaTiO2F
Method: DFT, PBE-GGA
State: optimized geometry

The structure in CIF format:
```
data_CaTiO2F
_space_group_name_H-M_alt 'P 4/m m m'
_space_group_IT_number 123
_space_group_name_Hall '-P 4 2'
_cell_length_a 3.962
_cell_length_b 3.962
_cell_length_c 3.986
_cell_angle_alpha 90.00
_cell_angle_beta 90.00
_cell_angle_gamma 90.00
loop_
_atom_site_label
_atom_site_type_symbol
_atom_site_fract_x
_atom_site_fract_y
_atom_site_fract_z
Ca1 Ca 0.000 0.000 0.000
Ti1 Ti 0.500 0.500 0.500
O1 O 0.000 0.500 0.500
F1 F 0.500 0.500 0.000
```

Values from the calculation:
Its magnetic moment is 0.92 μB per formula unit. The value obtained for the formation energy from raw total energies is -2941 meV/atom. Its density is 3.7 g/cm3. As for the density of states at the Fermi level: 1.8 states/eV per cell.

***

Entry 8:
Material: CaTlO2F
Method: DFT, PBE-GGA
State: optimized geometry

The structure in CIF format:
```
data_CaTlO2F
_space_group_name_H-M_alt 'P 4/m m m'
_space_group_IT_number 123
_space_group_name_Hall '-P 4 2'
_cell_length_a 4.507
_cell_length_b 4.507
_cell_length_c 4.301
_cell_angle_alpha 90.00
_cell_angle_beta 90.00
_cell_angle_gamma 90.00
loop_
_atom_site_label
_atom_site_type_symbol
_atom_site_fract_x
_atom_site_fract_y
_atom_site_fract_z
Ca1 Ca 0.000 0.000 0.000
Tl1 Tl 0.500 0.500 0.500
O1 O 0.000 0.500 0.000
F1 F 0.000 0.000 0.500
```

Values from the calculation:
Its magnetic moment is 0.17 μB per formula unit. The value obtained for the formation energy from raw total energies is -1394 meV/atom. Its density is 5.6 g/cm3. As for the density of states at the Fermi level: 6.4 states/eV per cell.

***

Entry 9:
Material: CaTlO2F
Method: DFT, PBE-GGA
State: optimized geometry

The structure in CIF format:
```
data_CaTlO2F
_space_group_name_H-M_alt 'P 4/m m m'
_space_group_IT_number 123
_space_group_name_Hall '-P 4 2'
_cell_length_a 4.319
_cell_length_b 4.319
_cell_length_c 4.433
_cell_angle_alpha 90.00
_cell_angle_beta 90.00
_cell_angle_gamma 90.00
loop_
_atom_site_label
_atom_site_type_symbol
_atom_site_fract_x
_atom_site_fract_y
_atom_site_fract_z
Ca1 Ca 0.000 0.000 0.000
Tl1 Tl 0.500 0.500 0.500
O1 O 0.000 0.500 0.500
F1 F 0.500 0.500 0.000
```

Values from the calculation:
Its magnetic moment is 0.00 μB per formula unit. The value obtained for the formation energy from raw total energies is -1542 meV/atom. Its density is 5.9 g/cm3. As for the density of states at the Fermi level: 0.2 states/eV per cell.

***

Entry 10:
Material: CaTlOF2
Method: DFT, PBE-GGA
State: optimized geometry

The structure in CIF format:
```
data_CaTlOF2
_space_group_name_H-M_alt 'P 4/m m m'
_space_group_IT_number 123
_space_group_name_Hall '-P 4 2'
_cell_length_a 4.645
_cell_length_b 4.645
_cell_length_c 4.429
_cell_angle_alpha 90.00
_cell_angle_beta 90.00
_cell_angle_gamma 90.00
loop_
_atom_site_label
_atom_site_type_symbol
_atom_site_fract_x
_atom_site_fract_y
_atom_site_fract_z
Ca1 Ca 0.000 0.000 0.000
Tl1 Tl 0.500 0.500 0.500
O1 O 0.500 0.500 0.000
F1 F 0.000 0.500 0.500
```

Values from the calculation:
Its magnetic moment is 0.00 μB per formula unit. The value obtained for the formation energy from raw total energies is -1759 meV/atom. Its density is 5.2 g/cm3. As for the density of states at the Fermi level: 0.7 states/eV per cell.

***

Entry 11:
Material: CaTlOF2
Method: DFT, PBE-GGA
State: optimized geometry

The structure in CIF format:
```
data_CaTlOF2
_space_group_name_H-M_alt 'P 4/m m m'
_space_group_IT_number 123
_space_group_name_Hall '-P 4 2'
_cell_length_a 4.402
_cell_length_b 4.402
_cell_length_c 4.762
_cell_angle_alpha 90.00
_cell_angle_beta 90.00
_cell_angle_gamma 90.00
loop_
_atom_site_label
_atom_site_type_symbol
_atom_site_fract_x
_atom_site_fract_y
_atom_site_fract_z
Ca1 Ca 0.000 0.000 0.000
Tl1 Tl 0.500 0.500 0.500
O1 O 0.000 0.000 0.500
F1 F 0.000 0.500 0.000
```

Values from the calculation:
Its magnetic moment is 1.00 μB per formula unit. The value obtained for the formation energy from raw total energies is -2247 meV/atom. Its density is 5.4 g/cm3. As for the density of states at the Fermi level: 2.6 states/eV per cell.

***

Entry 12:
Material: CaTlO2F
Method: DFT, PBE-GGA
State: optimized geometry

The structure in CIF format:
```
data_CaTlO2F
_space_group_name_H-M_alt 'P 4/m m m'
_space_group_IT_number 123
_space_group_name_Hall '-P 4 2'
_cell_length_a 4.942
_cell_length_b 4.942
_cell_length_c 3.996
_cell_angle_alpha 90.00
_cell_angle_beta 90.00
_cell_angle_gamma 90.00
loop_
_atom_site_label
_atom_site_type_symbol
_atom_site_fract_x
_atom_site_fract_y
_atom_site_fract_z
Ca1 Ca 0.000 0.000 0.000
Tl1 Tl 0.500 0.500 0.000
O1 O 0.000 0.500 0.500
F1 F 0.000 0.000 0.500
```

Values from the calculation:
Its magnetic moment is 2.00 μB per formula unit. The value obtained for the formation energy from raw total energies is -865 meV/atom. Its density is 5.0 g/cm3. As for the density of states at the Fermi level: 0.7 states/eV per cell.

***

What did the seventh record say?
Material: CaTiO2F
Method: DFT, PBE-GGA
State: optimized geometry

The structure in CIF format:
```
data_CaTiO2F
_space_group_name_H-M_alt 'P 4/m m m'
_space_group_IT_number 123
_space_group_name_Hall '-P 4 2'
_cell_length_a 3.962
_cell_length_b 3.962
_cell_length_c 3.986
_cell_angle_alpha 90.00
_cell_angle_beta 90.00
_cell_angle_gamma 90.00
loop_
_atom_site_label
_atom_site_type_symbol
_atom_site_fract_x
_atom_site_fract_y
_atom_site_fract_z
Ca1 Ca 0.000 0.000 0.000
Ti1 Ti 0.500 0.500 0.500
O1 O 0.000 0.500 0.500
F1 F 0.500 0.500 0.000
```

Values from the calculation:
Its magnetic moment is 0.92 μB per formula unit. The value obtained for the formation energy from raw total energies is -2941 meV/atom. Its density is 3.7 g/cm3. As for the density of states at the Fermi level: 1.8 states/eV per cell.

***

Q: formation energy from raw total energies of number 6 (CaTiO2F)?
A: -1385 meV/atom